This record from Alexandria via LeMat-Bulk describes crystalline Li2ScTl at its relaxed geometry. The functional is PBE.

Results
final energy: -0.1225 hartree per atom
total magnetic moment: 0.00 μB/f.u.
formation energy: -0.812 eV/f.u.

Unit cell a=4.8226 b=4.8226 c=4.8203 alpha=60.01 beta=60.01 gamma=59.95
With the nearest neighbours (Å) after each atom.
Element x y z (fractional)
Tl 0.2502 0.2502 0.2498  4 Li 2.95, 4 Sc 2.95
Li 0.7496 0.7496 0.7504  4 Li 2.95-2.96, 4 Sc 2.95
Li 0.0002 0.0002 0.9998  4 Li 2.95-2.96, 4 Tl 2.95
Sc 0.5000 0.5000 0.4999  4 Li 2.95, 4 Tl 2.95